# CaCrCO5

An optimized crystal structure of CaCrCO5 (PBE+U, the Alexandria database).

Computed properties:
E   -7.209 eV/atom

```
16
Lattice="5.216 0.063 -0.020 -1.462 5.007 -0.020 -1.583 -2.138 6.218" Properties=species:S:1:pos:R:3 pbc="T T T"
O 3.917 1.371 0.828
O 0.509 1.855 5.599
Cr -0.792 -1.069 3.109
Ca 0.434 2.775 1.535
O 3.541 -1.180 4.644
Ca 1.736 0.156 4.644
O -1.370 4.111 1.535
O 1.662 1.076 0.580
O -1.747 1.560 5.351
O -0.624 3.078 3.937
O 2.417 2.097 2.490
O 2.794 -0.146 2.242
Cr 0.000 0.000 0.000
O -0.247 0.834 3.689
C -0.554 1.852 4.644
C 2.725 1.080 1.535
```